1.
The following is a GGA-PBE calculation of a relaxed TeSeI2Br crystal, from Alexandria.

Results
Energy relative to the elements, uncorrected = 0.841 eV/atom
E above lowest polymorph = 0.441 eV/atom
Space-group type = P4/mmm
Volume = 202.3 Å³ per cell

abc: 5.966 5.966 5.684
angles: 90.00 90.00 90.00
Atoms (fractional coordinates):
Te1 0.000 0.000 0.000
Se1 0.500 0.500 0.000
I1 0.000 0.500 0.500
I2 0.500 0.000 0.500
Br1 0.000 0.000 0.500

***

2.
The following is a GGA-PBE calculation of a relaxed SmHoEr5Sc2 crystal, from Alexandria.

Results
E_form = 0.17 eV per atom
Space-group type = Cmc2_1
Volume = 548.6 Å³ per cell

abc: 11.012 11.012 9.267
angles: 90.00 90.00 150.78
Atoms (fractional coordinates):
Sm1 0.185 0.815 0.500
Sm2 0.815 0.185 0.000
Ho1 0.403 0.597 0.902
Ho2 0.597 0.403 0.402
Er1 0.010 0.990 0.499
Er2 0.265 0.735 0.817
Er3 0.308 0.692 0.202
Er4 0.392 0.608 0.529
Er5 0.469 0.531 0.231
Er6 0.531 0.469 0.731
Er7 0.608 0.392 0.029
Er8 0.692 0.308 0.702
Er9 0.735 0.265 0.317
Er10 0.990 0.010 0.999
Sc1 0.113 0.887 0.807
Sc2 0.138 0.862 0.180
Sc3 0.862 0.138 0.680
Sc4 0.887 0.113 0.307

***

3.
The following is a GGA-PBE calculation of a relaxed K2Rb2TlBi2 crystal, from Alexandria.

Results
E_form = -0.20 eV per atom
Space-group type = C2/m
Volume = 334.2 Å³ per cell

abc: 7.053 7.053 10.719
angles: 112.72 112.72 43.57
Atoms (fractional coordinates):
K1 0.129 0.129 0.419
K2 0.871 0.871 0.581
Rb1 0.353 0.353 0.162
Rb2 0.647 0.647 0.838
Tl1 0.000 0.000 0.000
Bi1 0.336 0.336 0.790
Bi2 0.664 0.664 0.210

***

4.
The following is a GGA-PBE calculation of a relaxed RbBa2Na2 crystal, from Alexandria.

Results
E_form = 0.11 eV per atom
E above lowest polymorph = 0.049 eV/atom
Space-group type = I4/mmm
Volume = 310.2 Å³ per cell

abc: 9.639 9.639 9.639
angles: 143.83 143.83 52.08
Atoms (fractional coordinates):
Rb1 0.000 0.000 0.000
Ba1 0.250 0.750 0.500
Ba2 0.750 0.250 0.500
Na1 0.404 0.404 0.000
Na2 0.596 0.596 0.000